The following is a PBE calculation of a relaxed BaCe2FeN4 crystal, from the Alexandria database.

Cell lengths 3.615, 12.040, 11.996 Å; angles 90.00, 90.00, 90.00 degrees
Space group Cmcm (No. 63)
Unique sites:
1 Ba 0.000 0.095 0.250 (multiplicity 4)
2 Ce 0.000 0.366 0.051 (multiplicity 8)
3 Fe 0.000 0.177 0.750 (multiplicity 4)
4 N 0.000 0.000 0.000 (multiplicity 4)
5 N 0.000 0.250 0.611 (multiplicity 8)
6 N 0.000 0.385 0.250 (multiplicity 4)

Properties
energy relative to the elements, uncorrected: -1.001 eV per atom